Material: Sr2HAuBr
Method: DFT, PBE
State: optimized geometry

Fermi-level density of states in states/eV/f.u.: 2.66
Total moment in μB/f.u.: 0.00
Electronic total energy in eV/atom: -2.94

Unit cell a=6.0902 b=6.0902 c=3.8599 alpha=90.00 beta=90.00 gamma=90.00
Element x y z (fractional)
Sr  0.0000  0.5000  0.0000
Sr  0.5000  0.0000  0.0000
H  0.0000  0.0000  0.5000
Au  0.0000  0.0000  0.0000
Br  0.5000  0.5000  0.5000